# Tm2Zn2Pd | Alexandria via LeMat-Bulk | GGA-PBE | relaxed
data_Tm2Zn2Pd
_chemical_formula_sum 'Tm8 Zn8 Pd4'
_cell_length_a 10.207
_cell_length_b 4.044
_cell_length_c 10.856
_cell_angle_alpha 90.00
_cell_angle_beta 111.73
_cell_angle_gamma 90.00
_space_group_name_H-M_alt 'C 1 2/m 1'
_space_group_IT_number 12
loop_
_space_group_symop_operation_xyz
'x,y,z'
'-x,-y,-z'
'-x,y,-z'
'x,-y,z'
'x+1/2,y+1/2,z'
'-x+1/2,-y+1/2,-z'
'-x+1/2,y+1/2,-z'
'x+1/2,-y+1/2,z'
loop_
_atom_site_label
_atom_site_type_symbol
_atom_site_fract_x
_atom_site_fract_y
_atom_site_fract_z
Tm1 Tm 0.004 0.000 0.331
Tm2 Tm 0.192 0.000 0.115
Zn1 Zn 0.028 0.500 0.893
Zn2 Zn 0.151 0.500 0.548
Pd1 Pd 0.209 0.500 0.319
# Formation enthalpy at 0 K = -0.551 eV per atom

---

# Tm8ZnPd2 | Alexandria via LeMat-Bulk | GGA-PBE | relaxed
data_Tm8ZnPd2
_chemical_formula_sum 'Tm16 Zn2 Pd4'
_cell_length_a 17.344
_cell_length_b 5.017
_cell_length_c 6.732
_cell_angle_alpha 90.00
_cell_angle_beta 106.45
_cell_angle_gamma 90.00
_space_group_name_H-M_alt 'C 1 2/m 1'
_space_group_IT_number 12
loop_
_space_group_symop_operation_xyz
'x,y,z'
'-x,-y,-z'
'-x,y,-z'
'x,-y,z'
'x+1/2,y+1/2,z'
'-x+1/2,-y+1/2,-z'
'-x+1/2,y+1/2,-z'
'x+1/2,-y+1/2,z'
loop_
_atom_site_label
_atom_site_type_symbol
_atom_site_fract_x
_atom_site_fract_y
_atom_site_fract_z
Tm1 Tm 0.033 0.000 0.280
Tm2 Tm 0.093 0.500 0.963
Tm3 Tm 0.170 0.500 0.477
Tm4 Tm 0.200 0.000 0.820
Zn1 Zn 0.000 0.500 0.500
Pd1 Pd 0.185 0.000 0.219
# Formation enthalpy at 0 K = -0.398 eV per atom

---

# TmZnPd | Alexandria via LeMat-Bulk | GGA-PBE | relaxed
data_TmZnPd
_chemical_formula_sum 'Tm2 Zn2 Pd2'
_cell_length_a 3.533
_cell_length_b 3.533
_cell_length_c 9.041
_cell_angle_alpha 90.00
_cell_angle_beta 90.00
_cell_angle_gamma 90.00
_space_group_name_H-M_alt 'I 4 m m'
_space_group_IT_number 107
_space_group_name_Hall 'I 4 -2'
loop_
_atom_site_label
_atom_site_type_symbol
_atom_site_fract_x
_atom_site_fract_y
_atom_site_fract_z
Tm1 Tm 0.000 0.000 0.000
Zn1 Zn 0.000 0.000 0.319
Pd1 Pd 0.000 0.000 0.670
# Formation enthalpy at 0 K = -0.674 eV per atom